Crystalline Li2SiAu2 at its relaxed geometry, computed with GGA-PBE.

Cell and atoms, written as CIF:
```
data_Li2SiAu2
_chemical_formula_sum 'Li4 Si2 Au4'
_space_group_name_H-M_alt 'I 4/m m m'
_space_group_IT_number 139
_space_group_name_Hall '-I 4 2'
_cell_length_a 3.835
_cell_length_b 3.835
_cell_length_c 12.192
_cell_angle_alpha 90.00
_cell_angle_beta 90.00
_cell_angle_gamma 90.00
loop_
_atom_site_label
_atom_site_type_symbol
_atom_site_fract_x
_atom_site_fract_y
_atom_site_fract_z
Li1 Li 0.000 0.000 0.100
Si1 Si 0.000 0.000 0.500
Au1 Au 0.000 0.500 0.250
```

Total magnetic moment (μB per formula unit): 0.000
Energy relative to the lowest polymorph listed for this composition (eV per formula unit): 2.30
ΔE_f (raw) (kJ/mol of atoms): 3

Crystalline NaEu5 at its relaxed geometry, computed with GGA-PBE.

Cell and atoms, written as CIF:
```
data_NaEu5
_chemical_formula_sum 'Na2 Eu10'
_space_group_name_H-M_alt 'C m m m'
_space_group_IT_number 65
_space_group_name_Hall '-C 2 2'
_cell_length_a 5.555
_cell_length_b 16.670
_cell_length_c 5.621
_cell_angle_alpha 90.00
_cell_angle_beta 90.00
_cell_angle_gamma 90.00
loop_
_atom_site_label
_atom_site_type_symbol
_atom_site_fract_x
_atom_site_fract_y
_atom_site_fract_z
Na1 Na 0.000 0.000 0.000
Eu1 Eu 0.000 0.169 0.500
Eu2 Eu 0.000 0.338 0.000
Eu3 Eu 0.000 0.500 0.500
```

Total magnetic moment (μB per formula unit): 7.385
DFT formation energy (eV/atom): 0.097

Crystalline Al3SiNi3 at its relaxed geometry, computed with GGA-PBE.

Cell and atoms, written as CIF:
```
data_Al3SiNi3
_chemical_formula_sum 'Al9 Si3 Ni9'
_space_group_name_H-M_alt 'R -3 m'
_space_group_IT_number 166
_space_group_name_Hall '-R 3 2"'
_cell_length_a 7.9697
_cell_length_b 7.9697
_cell_length_c 4.9858
_cell_angle_alpha 90.00
_cell_angle_beta 90.00
_cell_angle_gamma 120.00
loop_
_atom_site_label
_atom_site_type_symbol
_atom_site_fract_x
_atom_site_fract_y
_atom_site_fract_z
Al1 Al 0.0000 0.5000 0.0000
Si1 Si 0.0000 0.0000 0.0000
Ni1 Ni 0.0000 0.5000 0.5000
```

Total magnetic moment (μB per formula unit): 0.000
Energy relative to the lowest polymorph listed for this composition (eV per formula unit): 0.00
ΔE_f (raw) (kJ/mol of atoms): -48

Crystalline SmTm4Tl5 at its relaxed geometry, computed with GGA-PBE.

Cell and atoms, written as CIF:
```
data_SmTm4Tl5
_chemical_formula_sum 'Sm1 Tm4 Tl5'
_space_group_name_H-M_alt 'P 4/m m m'
_space_group_IT_number 123
_space_group_name_Hall '-P 4 2'
_cell_length_a 3.724
_cell_length_b 3.724
_cell_length_c 19.423
_cell_angle_alpha 90.00
_cell_angle_beta 90.00
_cell_angle_gamma 90.00
loop_
_atom_site_label
_atom_site_type_symbol
_atom_site_fract_x
_atom_site_fract_y
_atom_site_fract_z
Sm1 Sm 0.000 0.000 0.000
Tm1 Tm 0.000 0.000 0.205
Tm2 Tm 0.000 0.000 0.402
Tl1 Tl 0.500 0.500 0.107
Tl2 Tl 0.500 0.500 0.304
Tl3 Tl 0.500 0.500 0.500
```

Total magnetic moment (μB per formula unit): 0.000
DFT formation energy (eV/atom): -0.311